## GeWF2 (PBE with a Hubbard U)

Data for a geometry-optimized GeWF2 structure.

Output
energy above the lowest structure with this stoichiometry: 0.781 eV/atom

The structure in CIF format:
```
data_GeWF2
_chemical_formula_sum 'Ge4 W4 F8'
_cell_length_a 6.115
_cell_length_b 6.115
_cell_length_c 6.115
_cell_angle_alpha 90.00
_cell_angle_beta 90.00
_cell_angle_gamma 90.00
_space_group_name_H-M_alt 'F m -3 m'
_space_group_IT_number 225
_space_group_name_Hall '-F 4 2 3'
loop_
_atom_site_label
_atom_site_type_symbol
_atom_site_fract_x
_atom_site_fract_y
_atom_site_fract_z
_atom_site_occupancy
Ge1 Ge 0.000 0.000 0.000 1
W1 W 0.000 0.000 0.500 1
F1 F 0.250 0.250 0.250 1
```